# 1
! K2BaMoH GGA-PBEsol relaxed; values from VASP
! space group: P4/mmm
! magnetization: 2.2 Bohr magnetons per cell
! final energy: -2.899 eV per atom
&SYSTEM
  ibrav = 0, nat = 5, ntyp = 4
/
ATOMIC_SPECIES
Mo 95.94 Mo.upf
H 1.01 H.upf
Ba 137.33 Ba.upf
K 39.10 K.upf
CELL_PARAMETERS angstrom
-2.802 0.695 -2.661
1.143 -5.588 -2.662
-4.259 -2.675 3.785
ATOMIC_POSITIONS angstrom
Mo -1.401 0.347 -1.331
H 0.000 0.000 0.000
Ba -2.959 -3.784 -0.769
K 0.572 -2.794 -1.331
K -2.129 -1.337 1.893

***

# 2
! KBaSiHO4 GGA-PBEsol relaxed; values from VASP
! space group: P2_1
! magnetization: 0.0 Bohr magnetons per cell
! final energy: -6.557 eV per atom
&SYSTEM
  ibrav = 0, nat = 16, ntyp = 5
/
ATOMIC_SPECIES
Si 28.09 Si.upf
O 16.00 O.upf
H 1.01 H.upf
Ba 137.33 Ba.upf
K 39.10 K.upf
CELL_PARAMETERS angstrom
5.790 -0.001 0.000
-2.824 5.254 0.000
0.000 0.000 8.006
ATOMIC_POSITIONS angstrom
Si 2.981 1.991 2.046
O 3.359 3.580 2.130
H 1.627 2.446 3.967
Ba 0.063 0.013 0.124
O 1.988 1.719 0.757
O 2.059 1.639 3.440
Si -0.015 3.262 6.049
K 0.173 3.665 2.146
O 4.278 1.007 2.066
H 1.340 2.807 7.970
O -1.311 4.246 6.069
O 0.908 3.613 7.443
Ba 2.903 5.240 4.127
K 2.794 1.587 6.149
O -0.392 1.673 6.133
O 0.979 3.534 4.760

***

# 3
! BaLaH2 GGA-PBEsol relaxed; values from VASP
! space group: Fm-3m
! magnetization: 0.0 Bohr magnetons per cell
! energy above the most stable polymorph in this dataset: 0.3836 eV per atom
&SYSTEM
  ibrav = 0, nat = 4, ntyp = 3
/
ATOMIC_SPECIES
H 1.01 H.upf
La 138.91 La.upf
Ba 137.33 Ba.upf
CELL_PARAMETERS angstrom
-2.610 -3.811 0.762
-1.415 -2.628 -3.607
1.831 -4.259 -0.653
ATOMIC_POSITIONS angstrom
H -1.645 -8.024 -2.624
La -1.097 -5.349 -1.749
H -0.548 -2.675 -0.875
Ba 0.000 0.000 0.000

***

# 4
! BaLaH2 GGA-PBEsol relaxed; values from VASP
! space group: I-42d
! magnetization: 0.0 Bohr magnetons per cell
! energy above the most stable polymorph in this dataset: 0.0000 eV per atom
&SYSTEM
  ibrav = 0, nat = 8, ntyp = 3
/
ATOMIC_SPECIES
H 1.01 H.upf
La 138.91 La.upf
Ba 137.33 Ba.upf
CELL_PARAMETERS angstrom
5.757 0.000 0.000
0.000 5.757 0.000
-2.878 -2.878 5.586
ATOMIC_POSITIONS angstrom
H 1.189 4.318 1.396
H 1.439 1.689 4.189
La 0.000 2.878 2.793
H -1.439 -1.689 4.189
Ba 2.878 0.000 2.793
Ba 2.878 2.878 0.000
La 0.000 0.000 0.000
H 4.568 1.439 1.396